Entry 1:
Material: LiNdEr2
Method: DFT, PBE
State: relaxed

- ΔE to the lowest computed polymorph: 0 kJ/mol of formula units
- Volume: 28.896 A^3/atom
- SG: No. 123
- E_form: 0.081 eV/atom
- N(E_F): 5.5 states/eV/f.u.
- VASP energy: -15.49 eV per cell

Lattice parameters (Å, degrees): 3.644 3.644 8.704 90.00 90.00 90.00
Positions (direct):
Nd1 0.500 0.500 0.500
Li1 0.500 0.500 0.000
Er1 0.000 0.000 0.785
Er2 0.000 0.000 0.215


Entry 2:
Material: LiNd2Er
Method: DFT, PBE
State: relaxed

- ΔE to the lowest computed polymorph: 34 kJ/mol of formula units
- Volume: 30.693 A^3/atom
- SG: No. 225
- E_form: 0.152 eV/atom
- N(E_F): 4.9 states/eV/f.u.
- VASP energy: -15.40 eV per cell

Lattice parameters (Å, degrees): 5.579 5.579 5.579 60.00 60.00 60.00
Positions (direct):
Er1 0.500 0.500 0.500
Li1 0.000 0.000 0.000
Nd1 0.750 0.750 0.750
Nd2 0.250 0.250 0.250


Entry 3:
Material: LiNdEr2
Method: DFT, PBE
State: relaxed

- ΔE to the lowest computed polymorph: 19 kJ/mol of formula units
- Volume: 30.032 A^3/atom
- SG: No. 160
- E_form: 0.129 eV/atom
- N(E_F): 4.6 states/eV/f.u.
- VASP energy: -15.29 eV per cell

Lattice parameters (Å, degrees): 3.514 3.514 11.414 81.14 81.14 60.00
Positions (direct):
Er1 0.079 0.079 0.762
Li1 0.667 0.667 0.000
Nd1 0.500 0.500 0.500
Er2 0.254 0.254 0.238


Entry 4:
Material: LiNd2Er
Method: DFT, PBE
State: relaxed

- ΔE to the lowest computed polymorph: 2 kJ/mol of formula units
- Volume: 31.375 A^3/atom
- SG: No. 160
- E_form: 0.071 eV/atom
- N(E_F): 3.3 states/eV/f.u.
- VASP energy: -15.73 eV per cell

Lattice parameters (Å, degrees): 3.561 3.561 11.622 81.14 81.14 59.94
Positions (direct):
Er1 0.667 0.667 0.000
Nd1 0.085 0.085 0.748
Nd2 0.249 0.249 0.252
Li1 0.500 0.500 0.500


Entry 5:
Material: LiNdErNi
Method: DFT, PBE
State: relaxed

- Volume: 21.904 A^3/atom
- SG: No. 216
- E_form: -0.099 eV/atom
- N(E_F): 3.3 states/eV/f.u.
- VASP energy: -17.42 eV per cell

Lattice parameters (Å, degrees): 4.985 4.985 4.985 60.00 60.00 60.00
Positions (direct):
Li1 0.000 0.000 0.000
Er1 0.250 0.250 0.250
Ni1 0.500 0.500 0.500
Nd1 0.750 0.750 0.750


Entry 6:
Material: Li2Nd2ErPb2
Method: DFT, PBE
State: relaxed

- Volume: 26.844 A^3/atom
- SG: No. 166
- E_form: -0.323 eV/atom
- N(E_F): 4.8 states/eV/f.u.
- VASP energy: -27.60 eV per cell

Lattice parameters (Å, degrees): 4.844 4.844 9.660 75.48 75.48 60.00
Positions (direct):
Er1 0.000 0.000 0.000
Nd1 0.873 0.873 0.382
Pb1 0.268 0.268 0.195
Pb2 0.732 0.732 0.805
Li1 0.394 0.394 0.819
Li2 0.606 0.606 0.181
Nd2 0.127 0.127 0.618


Entry 7:
Material: LiNdErPt
Method: DFT, PBE
State: relaxed

- Volume: 22.741 A^3/atom
- SG: No. 216
- E_form: -0.601 eV/atom
- N(E_F): 3.5 states/eV/f.u.
- VASP energy: -19.69 eV per cell

Lattice parameters (Å, degrees): 5.048 5.048 5.048 60.00 60.00 60.00
Positions (direct):
Li1 0.250 0.250 0.250
Nd1 0.500 0.500 0.500
Er1 0.000 0.000 0.000
Pt1 0.750 0.750 0.750


Entry 8:
Material: LiNdErRh
Method: DFT, PBE
State: relaxed

- Volume: 22.069 A^3/atom
- SG: No. 216
- E_form: -0.424 eV/atom
- N(E_F): 3.1 states/eV/f.u.
- VASP energy: -20.29 eV per cell

Lattice parameters (Å, degrees): 4.998 4.998 4.998 60.00 60.00 60.00
Positions (direct):
Nd1 0.250 0.250 0.250
Er1 0.750 0.750 0.750
Li1 0.500 0.500 0.500
Rh1 0.000 0.000 0.000


Entry 9:
Material: LiNd3Er2S6
Method: DFT, PBE
State: relaxed

- Volume: 21.890 A^3/atom
- SG: No. 12
- N(E_F): 4.5 states/eV/f.u.
- Energy relative to the elements, uncorrected: -1.952 eV/atom
- VASP energy: -73.54 eV per cell

Lattice parameters (Å, degrees): 6.815 6.815 6.927 99.45 99.45 120.15
Positions (direct):
Nd1 0.165 0.835 0.500
S1 0.924 0.594 0.769
S2 0.748 0.748 0.227
S3 0.594 0.924 0.769
Li1 0.000 0.000 0.000
S4 0.076 0.406 0.231
S5 0.252 0.252 0.773
Er1 0.666 0.334 0.000
S6 0.406 0.076 0.231
Nd2 0.500 0.500 0.500
Nd3 0.835 0.165 0.500
Er2 0.334 0.666 0.000


Entry 10:
Material: LiNdEr4S8
Method: DFT, PBE
State: relaxed

- Volume: 25.971 A^3/atom
- SG: No. 160
- N(E_F): 0.0 states/eV/f.u.
- Energy relative to the elements, uncorrected: -1.954 eV/atom
- VASP energy: -85.31 eV per cell

Lattice parameters (Å, degrees): 7.959 7.959 8.065 60.43 60.43 60.00
Positions (direct):
S1 0.768 0.249 0.733
Er1 0.005 0.486 0.505
S2 0.229 0.751 0.268
S3 0.751 0.751 0.268
S4 0.759 0.759 0.724
Er2 0.486 0.005 0.505
Nd1 0.004 0.004 0.989
S5 0.242 0.242 0.273
Er3 0.626 0.626 0.121
S6 0.751 0.229 0.268
S7 0.249 0.768 0.733
Er4 0.005 0.005 0.505
S8 0.249 0.249 0.733
Li1 0.376 0.376 0.873


Entry 11:
Material: LiNdErS3
Method: DFT, PBE
State: relaxed

- Volume: 21.344 A^3/atom
- SG: No. 11
- N(E_F): 1.8 states/eV/f.u.
- Energy relative to the elements, uncorrected: -1.825 eV/atom
- VASP energy: -69.15 eV per cell

Lattice parameters (Å, degrees): 3.851 8.090 8.433 102.91 90.00 90.00
Positions (direct):
Nd1 0.750 0.811 0.776
Li1 0.750 0.913 0.415
S1 0.750 0.900 0.133
Er1 0.250 0.665 0.165
Li2 0.250 0.087 0.585
Nd2 0.250 0.189 0.224
S2 0.750 0.433 0.170
S3 0.250 0.567 0.830
Er2 0.750 0.335 0.835
S4 0.250 0.100 0.867
S5 0.250 0.784 0.499
S6 0.750 0.216 0.501


Entry 12:
Material: LiNd4Er3S8
Method: DFT, PBE
State: relaxed

- Volume: 21.962 A^3/atom
- SG: No. 166
- N(E_F): 7.8 states/eV/f.u.
- Energy relative to the elements, uncorrected: -1.959 eV/atom
- VASP energy: -99.04 eV per cell

Lattice parameters (Å, degrees): 7.864 7.978 7.865 119.53 120.00 90.00
Positions (direct):
Nd1 0.500 0.000 0.000
Nd2 0.500 0.000 0.500
S1 0.744 0.731 0.487
S2 0.254 0.272 0.013
Li1 0.000 0.500 0.000
S3 0.241 0.728 0.987
S4 0.746 0.728 0.987
S5 0.256 0.269 0.513
Er1 0.500 0.500 0.500
Er2 0.500 0.500 0.000
S6 0.759 0.272 0.518
Nd3 0.000 0.000 0.000
Nd4 0.000 0.000 0.500
S7 0.241 0.728 0.482
Er3 0.000 0.500 0.500
S8 0.759 0.272 0.013